HfNiRh3: relaxed, GGA-PBE.

Summary:
DOS at the Fermi energy ... 15.7 states/eV per cell
E_form ... -0.093 eV per atom
Space-group type ... P6_3/mmc

Lattice parameters (Å, degrees): 4.5184 6.3746 6.3746 120.00 90.00 90.00
Fractional positions:
1 Rh 0.7500 0.1945 0.3887
2 Rh 0.2500 0.8056 0.1944
3 Rh 0.7500 0.1944 0.8056
4 Rh 0.2500 0.8055 0.6113
5 Rh 0.7500 0.6113 0.8055
6 Rh 0.2500 0.3887 0.1945
7 Hf 0.7500 0.6665 0.3335
8 Hf 0.2500 0.3335 0.6665
9 Ni 0.5000 0.0000 0.0000
10 Ni 0.0000 0.0000 0.0000